Entry 1:
Density functional theory data (PBE-GGA) for an optimized crystal structure of ScInGa2W.

```
ScInGa2W
1.0
-4.445 2.127 -0.134
-1.085 -1.969 4.720
1.869 4.041 2.115
Ga W Sc In
2 1 1 1
Direct
0.500 0.000 0.000
0.000 0.000 0.500
0.000 0.500 0.000
0.500 0.500 0.500
0.000 0.000 0.000
```

## Properties
space group = No. 123
M_tot = 0.3000 μB/atom

Entry 2:
Density functional theory data (PBE-GGA) for an optimized crystal structure of YScInGa.

```
YScInGa
1.0
-2.833 -2.092 0.061
1.549 -2.165 -2.307
2.933 -3.812 5.546
Ga In Y Sc
1 1 1 1
Direct
0.000 0.000 0.376
0.000 0.000 0.839
0.500 0.500 0.123
0.500 0.500 0.591
```

## Properties
space group = No. 99
M_tot = 0.0000 μB/atom

Entry 3:
Density functional theory data (PBE-GGA) for an optimized crystal structure of Sc4Zn2InGa.

```
Sc4Zn2InGa
1.0
-1.070 4.682 0.356
-3.582 1.439 2.879
3.525 2.747 7.040
Sc In Ga Zn
4 1 1 2
Direct
0.129 0.129 0.612
0.380 0.380 0.861
0.871 0.871 0.388
0.620 0.620 0.139
0.000 0.000 0.000
0.500 0.500 0.500
0.747 0.747 0.758
0.253 0.253 0.242
```

## Properties
space group = No. 166
M_tot = 0.0000 μB/atom

Entry 4:
Density functional theory data (PBE-GGA) for an optimized crystal structure of Sc2ZnInGa.

```
Sc2ZnInGa
1.0
4.332 0.000 0.000
0.000 7.161 0.684
0.000 -2.284 6.389
Sc Zn Ga In
4 2 2 2
Direct
0.750 0.688 0.028
0.750 0.874 0.619
0.250 0.312 0.972
0.250 0.126 0.381
0.750 0.074 0.082
0.250 0.926 0.918
0.250 0.583 0.721
0.750 0.417 0.279
0.750 0.323 0.670
0.250 0.677 0.330
```

## Properties
space group = No. 11
M_tot = 0.0000 μB/atom

Energy relative to the elements, respectively: 1.33; -0.51; -0.46; -0.35 eV/atom.